A plane-wave DFT calculation with PBE was carried out for a relaxed TbPm2Nd5Dy crystal.

The total energy is -160.379 eV per cell. The value obtained for the theoretical density is 7.10 g/cm3. The value obtained for the energy of formation from the pure elements is 0.2753 eV per atom. The total magnetization comes out at 0.00 Bohr magnetons per cell.

The structure belongs to space group I4/mcm (No. 140); the cell edges are 8.709, 8.709 and 16.442 Å and the angles 90.00°, 90.00° and 90.00°. The distinct sites, in fractional coordinates, are Tb at (0.000, 0.500, 0.250), Pm at (0.120, 0.380, 0.000), Nd at (0.000, 0.000, 0.000), Nd at (0.212, 0.288, 0.359) and Dy at (0.000, 0.000, 0.250).